# CoTc2W (PBE-GGA, relaxed)
data_CoTc2W
_chemical_formula_sum 'Co1 Tc2 W1'
_symmetry_space_group_name_H-M 'P 1'
_symmetry_Int_Tables_number 1
_cell_length_a 4.690
_cell_length_b 4.690
_cell_length_c 4.690
_cell_angle_alpha 131.87
_cell_angle_beta 131.87
_cell_angle_gamma 70.43
loop_
_symmetry_equiv_pos_as_xyz
'x,y,z'
loop_
_atom_site_label
_atom_site_type_symbol
_atom_site_fract_x
_atom_site_fract_y
_atom_site_fract_z
Co1 Co 0.000 0.000 0.000
Tc1 Tc 0.250 0.750 0.500
Tc2 Tc 0.750 0.250 0.500
W1 W 0.500 0.500 0.000
# Energy of formation from the pure elements, eV per atom: 0.1110
# Magnetic moment, μB per formula unit: 0.0
# Energy relative to the lowest polymorph listed for this composition, meV/atom: 78.7
# DOS at the Fermi energy, states/eV/f.u.: 4.321
# Crystal system: tetragonal
# VASP energy, eV per atom: -10.087